Record 1
Compound: CePO
Source: Alexandria
Functional: PBE
Structure: optimized geometry

**Fermi-level density of states**: 4.28 states/eV/f.u.
**ΔE to the lowest computed polymorph**: 0.0 meV/atom

Cell and atoms, written as CIF:
```
data_CePO
_chemical_formula_sum 'Ce2 P2 O2'
_cell_length_a 3.495
_cell_length_b 3.495
_cell_length_c 8.141
_cell_angle_alpha 102.39
_cell_angle_beta 102.39
_cell_angle_gamma 90.00
_symmetry_space_group_name_H-M 'P 1'
_symmetry_Int_Tables_number 1
_symmetry_space_group_name_Hall 'P 1'
loop_
_atom_site_label
_atom_site_type_symbol
_atom_site_fract_x
_atom_site_fract_y
_atom_site_fract_z
P1 P 0.500 0.000 0.000
Ce1 Ce 0.343 0.343 0.687
O1 O 0.808 0.808 0.616
O2 O 0.192 0.192 0.384
Ce2 Ce 0.657 0.657 0.313
P2 P 0.000 0.500 0.000
```

***

Record 2
Compound: AlFe2Ru
Source: Alexandria
Functional: PBE
Structure: optimized geometry

**Fermi-level density of states**: 3.33 states/eV/f.u.
**ΔH_f (0 K)**: 0.014 eV/atom

Cell and atoms, written as CIF:
```
data_AlFe2Ru
_chemical_formula_sum 'Al1 Fe2 Ru1'
_cell_length_a 8.482
_cell_length_b 8.482
_cell_length_c 8.482
_cell_angle_alpha 17.99
_cell_angle_beta 17.99
_cell_angle_gamma 17.99
_symmetry_space_group_name_H-M 'P 1'
_symmetry_Int_Tables_number 1
_symmetry_space_group_name_Hall 'P 1'
loop_
_atom_site_label
_atom_site_type_symbol
_atom_site_fract_x
_atom_site_fract_y
_atom_site_fract_z
Al1 Al 0.750 0.750 0.750
Fe1 Fe 0.001 0.001 0.001
Fe2 Fe 0.499 0.499 0.499
Ru1 Ru 0.250 0.250 0.250
```